First-principles (PBE) data for crystalline Ni2RuPb at its relaxed geometry, as listed in the Alexandria database.

a = 3.170 Å, b = 3.175 Å, c = 5.966 Å
α = 90.00°, β = 90.00°, γ = 90.00°
Fractional coordinates of all 4 atoms:
Pb 0.000 0.000 0.485
Ni 0.000 0.000 0.008
Ni 0.500 0.500 0.214
Ru 0.500 0.500 0.794

SG = P4mm, No. 99
D(E_F) = 1.272 states/eV/atom
total energy = -5.749 eV per atom
energy of formation from the pure elements = 0.387 eV per atom

***

First-principles (PBE) data for crystalline NiRu2Pb at its relaxed geometry, as listed in the Alexandria database.

a = 8.966 Å, b = 8.966 Å, c = 8.966 Å
α = 18.81°, β = 18.81°, γ = 18.81°
Fractional coordinates of all 4 atoms:
Ru 0.250 0.250 0.250
Ru 0.991 0.991 0.991
Pb 0.753 0.753 0.753
Ni 0.507 0.507 0.507

SG = R3m, No. 160
D(E_F) = 1.138 states/eV/atom
total energy = -6.414 eV per atom
energy of formation from the pure elements = 0.597 eV per atom

***

First-principles (PBE) data for crystalline NiRu2Pb at its relaxed geometry, as listed in the Alexandria database.

a = 2.968 Å, b = 2.968 Å, c = 7.254 Å
α = 90.00°, β = 90.00°, γ = 90.00°
Fractional coordinates of all 4 atoms:
Ni 0.000 0.000 0.473
Ru 0.500 0.500 0.253
Ru 0.000 0.000 0.038
Pb 0.500 0.500 0.736

SG = P4mm, No. 99
D(E_F) = 1.003 states/eV/atom
total energy = -6.581 eV per atom
energy of formation from the pure elements = 0.429 eV per atom

***

First-principles (PBE) data for crystalline NiRuPb at its relaxed geometry, as listed in the Alexandria database.

a = 4.199 Å, b = 4.199 Å, c = 3.362 Å
α = 90.00°, β = 90.00°, γ = 120.00°
Fractional coordinates of all 3 atoms:
Ru 0.333 0.667 0.832
Pb 0.667 0.333 0.333
Ni 0.000 0.000 0.836

SG = P3m1, No. 156
D(E_F) = 1.151 states/eV/atom
total energy = -5.747 eV per atom
energy of formation from the pure elements = 0.508 eV per atom

***

First-principles (PBE) data for crystalline Ni2RuPb at its relaxed geometry, as listed in the Alexandria database.

a = 4.689 Å, b = 4.689 Å, c = 4.689 Å
α = 129.92°, β = 129.86°, γ = 73.58°
Fractional coordinates of all 4 atoms:
Ni 0.750 0.250 0.500
Ni 0.000 0.000 0.000
Ru 0.250 0.750 0.500
Pb 0.500 0.500 0.000

SG = I-4m2, No. 119
D(E_F) = 1.336 states/eV/atom
total energy = -5.797 eV per atom
energy of formation from the pure elements = 0.340 eV per atom

***

First-principles (PBE) data for crystalline NiRu2Pb at its relaxed geometry, as listed in the Alexandria database.

a = 4.580 Å, b = 4.580 Å, c = 5.061 Å
α = 79.31°, β = 79.31°, γ = 37.78°
Fractional coordinates of all 4 atoms:
Ni 0.000 0.000 0.500
Ru 0.261 0.261 0.703
Ru 0.739 0.739 0.297
Pb 0.500 0.500 0.000

SG = C2/m, No. 12
D(E_F) = 1.055 states/eV/atom
total energy = -6.594 eV per atom
energy of formation from the pure elements = 0.416 eV per atom